1.
# GGA-PBE Ta4TlAsC2, relaxed
data_Ta4TlAsC2
_space_group_name_H-M_alt 'P -6 m 2'
_space_group_IT_number 187
_space_group_name_Hall 'P -6 2'
_cell_length_a 3.2760
_cell_length_b 3.2760
_cell_length_c 13.1631
_cell_angle_alpha 90.00
_cell_angle_beta 90.00
_cell_angle_gamma 120.00
loop_
_atom_site_label
_atom_site_type_symbol
_atom_site_fract_x
_atom_site_fract_y
_atom_site_fract_z
Ta1 Ta 0.0000 0.0000 0.1419
Ta2 Ta 0.6667 0.3333 0.3162
Tl1 Tl 0.0000 0.0000 0.5000
As1 As 0.6667 0.3333 0.0000
C1 C 0.3333 0.6667 0.2320
# Total energy in eV/f.u.: -76.092

2.
# GGA-PBE Hf2ZrNi3As4Pd, relaxed
data_Hf2ZrNi3As4Pd
_space_group_name_H-M_alt 'P 1 m 1'
_space_group_IT_number 6
_cell_length_a 6.499
_cell_length_b 3.854
_cell_length_c 7.342
_cell_angle_alpha 90.00
_cell_angle_beta 91.05
_cell_angle_gamma 90.00
loop_
_space_group_symop_operation_xyz
'x,y,z'
'x,-y,z'
loop_
_atom_site_label
_atom_site_type_symbol
_atom_site_fract_x
_atom_site_fract_y
_atom_site_fract_z
Hf1 Hf 0.000 0.000 0.000
Hf2 Hf 0.063 0.500 0.621
Zr1 Zr 0.555 0.500 0.480
Ni1 Ni 0.142 0.500 0.252
Ni2 Ni 0.681 0.500 0.863
Ni3 Ni 0.896 0.000 0.367
As1 As 0.271 0.000 0.402
As2 As 0.294 0.500 0.955
As3 As 0.765 0.500 0.179
As4 As 0.775 0.000 0.681
Pd1 Pd 0.380 0.000 0.751
# Offset from the most stable computed form in eV/atom: 0.000
# Total energy in eV/f.u.: -77.485

3.
# GGA-PBE ZnH2O2, relaxed
data_ZnH2O2
_space_group_name_H-M_alt 'C 1 2/m 1'
_space_group_IT_number 12
_cell_length_a 5.472
_cell_length_b 3.181
_cell_length_c 4.525
_cell_angle_alpha 90.00
_cell_angle_beta 90.22
_cell_angle_gamma 90.00
loop_
_space_group_symop_operation_xyz
'x,y,z'
'-x,-y,-z'
'-x,y,-z'
'x,-y,z'
'x+1/2,y+1/2,z'
'-x+1/2,-y+1/2,-z'
'-x+1/2,y+1/2,-z'
'x+1/2,-y+1/2,z'
loop_
_atom_site_label
_atom_site_type_symbol
_atom_site_fract_x
_atom_site_fract_y
_atom_site_fract_z
Zn1 Zn 0.000 0.000 0.000
H1 H 0.168 0.500 0.554
O1 O 0.166 0.500 0.770
# Total energy in eV/f.u.: -23.535

4.
# GGA-PBE PuTlF6, relaxed
data_PuTlF6
_space_group_name_H-M_alt 'R -3 m'
_space_group_IT_number 166
_space_group_name_Hall '-R 3 2"'
_cell_length_a 7.5662
_cell_length_b 7.5662
_cell_length_c 7.5265
_cell_angle_alpha 90.00
_cell_angle_beta 90.00
_cell_angle_gamma 120.00
loop_
_atom_site_label
_atom_site_type_symbol
_atom_site_fract_x
_atom_site_fract_y
_atom_site_fract_z
Pu1 Pu 0.0000 0.0000 0.0000
Tl1 Tl 0.0000 0.0000 0.5000
F1 F 0.0826 0.5413 0.8308
# Total energy in eV/f.u.: -50.314

5.
# GGA-PBE LiFeAgSn, relaxed
data_LiFeAgSn
_space_group_name_H-M_alt 'F -4 3 m'
_space_group_IT_number 216
_space_group_name_Hall 'F -4 2 3'
_cell_length_a 6.379
_cell_length_b 6.379
_cell_length_c 6.379
_cell_angle_alpha 90.00
_cell_angle_beta 90.00
_cell_angle_gamma 90.00
loop_
_atom_site_label
_atom_site_type_symbol
_atom_site_fract_x
_atom_site_fract_y
_atom_site_fract_z
Li1 Li 0.000 0.000 0.000
Fe1 Fe 0.000 0.000 0.500
Ag1 Ag 0.250 0.250 0.750
Sn1 Sn 0.250 0.250 0.250
# Offset from the most stable computed form in eV/atom: 0.000
# Total energy in eV/f.u.: -17.053

6.
# GGA-PBE TmCoCuSi2, relaxed
data_TmCoCuSi2
_space_group_name_H-M_alt 'I -4 m 2'
_space_group_IT_number 119
_space_group_name_Hall 'I -4 -2'
_cell_length_a 3.917
_cell_length_b 3.917
_cell_length_c 9.662
_cell_angle_alpha 90.00
_cell_angle_beta 90.00
_cell_angle_gamma 90.00
loop_
_atom_site_label
_atom_site_type_symbol
_atom_site_fract_x
_atom_site_fract_y
_atom_site_fract_z
Tm1 Tm 0.000 0.000 0.000
Co1 Co 0.000 0.500 0.250
Cu1 Cu 0.000 0.500 0.750
Si1 Si 0.000 0.000 0.377
# Total energy in eV/f.u.: -29.328

7.
# GGA-PBE LuGa4Ni, relaxed
data_LuGa4Ni
_space_group_name_H-M_alt 'C m c m'
_space_group_IT_number 63
_space_group_name_Hall '-C 2c 2'
_cell_length_a 4.045
_cell_length_b 15.070
_cell_length_c 6.609
_cell_angle_alpha 90.00
_cell_angle_beta 90.00
_cell_angle_gamma 90.00
loop_
_atom_site_label
_atom_site_type_symbol
_atom_site_fract_x
_atom_site_fract_y
_atom_site_fract_z
Lu1 Lu 0.000 0.121 0.250
Ga1 Ga 0.000 0.069 0.750
Ga2 Ga 0.000 0.316 0.051
Ga3 Ga 0.000 0.500 0.000
Ni1 Ni 0.000 0.226 0.750
# Total energy in eV/f.u.: -25.201

8.
# GGA-PBE RbTcSb, relaxed
data_RbTcSb
_space_group_name_H-M_alt 'F -4 3 m'
_space_group_IT_number 216
_space_group_name_Hall 'F -4 2 3'
_cell_length_a 6.835
_cell_length_b 6.835
_cell_length_c 6.835
_cell_angle_alpha 90.00
_cell_angle_beta 90.00
_cell_angle_gamma 90.00
loop_
_atom_site_label
_atom_site_type_symbol
_atom_site_fract_x
_atom_site_fract_y
_atom_site_fract_z
Rb1 Rb 0.000 0.000 0.000
Tc1 Tc 0.250 0.250 0.250
Sb1 Sb 0.000 0.000 0.500
# Offset from the most stable computed form in eV/atom: 0.000
# Total energy in eV/f.u.: -12.389